VASP calculation (PBE-GGA) on AsIrSe2 after structural relaxation.

Cell: 6.0134 6.0134 11.1253 Å, 90.00 90.00 90.00°
Positions (direct):
As: 0.0000 0.0000 0.0000
As: 0.0000 0.5000 0.2500
As: 0.5000 0.0000 0.7500
As: 0.5000 0.5000 0.5000
Ir: 0.0000 0.0000 0.5000
Ir: 0.0000 0.5000 0.7500
Ir: 0.5000 0.0000 0.2500
Ir: 0.5000 0.5000 0.0000
Se: 0.2088 0.2500 0.6250
Se: 0.2500 0.7088 0.8750
Se: 0.2500 0.7912 0.3750
Se: 0.2912 0.2500 0.1250
Se: 0.7088 0.7500 0.1250
Se: 0.7500 0.2088 0.3750
Se: 0.7500 0.2912 0.8750
Se: 0.7912 0.7500 0.6250

Properties
- Raw formation energy: 0.2845 eV per atom
- Total magnetic moment: 0.00 μB/cell
- Electronic total energy: -4.835 eV per atom

***

VASP calculation (PBE-GGA) on Nd4Y3Se8 after structural relaxation.

Cell: 9.0076 9.0076 9.0076 Å, 53.97 53.97 53.97°
Positions (direct):
Nd: 0.0000 0.0000 0.0000
Nd: 0.1462 0.1462 0.1462
Nd: 0.5000 0.5000 0.5000
Nd: 0.8538 0.8538 0.8538
Y: 0.0000 0.5000 0.5000
Y: 0.5000 0.0000 0.5000
Y: 0.5000 0.5000 0.0000
Se: 0.2501 0.2501 0.7367
Se: 0.2501 0.7367 0.2501
Se: 0.2633 0.7499 0.7499
Se: 0.2689 0.2689 0.2689
Se: 0.7311 0.7311 0.7311
Se: 0.7367 0.2501 0.2501
Se: 0.7499 0.2633 0.7499
Se: 0.7499 0.7499 0.2633

Properties
- Raw formation energy: -1.6358 eV per atom
- Total magnetic moment: 0.00 μB/cell
- Electronic total energy: -6.058 eV per atom

***

VASP calculation (PBE-GGA) on InSn2As after structural relaxation.

Cell: 3.6428 3.6428 30.1085 Å, 90.00 90.00 120.00°
Positions (direct):
In: 0.0000 0.0000 0.0000
In: 0.3333 0.6667 0.6667
In: 0.6667 0.3333 0.3333
Sn: 0.0000 0.0000 0.1030
Sn: 0.0000 0.0000 0.8970
Sn: 0.3333 0.6667 0.5637
Sn: 0.3333 0.6667 0.7696
Sn: 0.6667 0.3333 0.2304
Sn: 0.6667 0.3333 0.4363
As: 0.0000 0.0000 0.5000
As: 0.3333 0.6667 0.1667
As: 0.6667 0.3333 0.8333

Properties
- Total magnetic moment: 0.00 μB/cell
- ΔH_f (0 K): 3.05 kcal/mol of atoms
- Electronic total energy: -3.716 eV per atom

***

VASP calculation (PBE-GGA) on SrLi3Au3 after structural relaxation.

Cell: 6.9388 6.9388 6.9388 Å, 90.00 90.00 90.00°
Positions (direct):
Sr: 0.0000 0.0000 0.0000
Sr: 0.5000 0.5000 0.5000
Li: 0.0000 0.2500 0.5000
Li: 0.0000 0.7500 0.5000
Li: 0.2500 0.5000 0.0000
Li: 0.5000 0.0000 0.2500
Li: 0.5000 0.0000 0.7500
Li: 0.7500 0.5000 0.0000
Au: 0.0000 0.5000 0.2500
Au: 0.0000 0.5000 0.7500
Au: 0.2500 0.0000 0.5000
Au: 0.5000 0.2500 0.0000
Au: 0.5000 0.7500 0.0000
Au: 0.7500 0.0000 0.5000

Properties
- Total magnetic moment: 0.00 μB/cell
- ΔH_f (0 K): -7.33 kcal/mol of atoms
- Electronic total energy: -2.783 eV per atom

***

VASP calculation (PBE-GGA) on TaSiOs2 after structural relaxation.

Cell: 2.8122 2.8122 26.2189 Å, 90.00 90.00 120.00°
Positions (direct):
Ta: 0.0000 0.0000 0.0000
Ta: 0.3333 0.6667 0.6667
Ta: 0.6667 0.3333 0.3333
Si: 0.0000 0.0000 0.2469
Si: 0.3333 0.6667 0.9136
Si: 0.6667 0.3333 0.5803
Os: 0.0000 0.0000 0.5055
Os: 0.0000 0.0000 0.7561
Os: 0.3333 0.6667 0.1721
Os: 0.3333 0.6667 0.4227
Os: 0.6667 0.3333 0.0894
Os: 0.6667 0.3333 0.8388

Properties
- Raw formation energy: 0.0514 eV per atom
- Total magnetic moment: 0.00 μB/cell
- Electronic total energy: -9.882 eV per atom

***

VASP calculation (PBE-GGA) on TbErHgAu after structural relaxation.

Cell: 7.3059 7.3059 7.3059 Å, 90.00 90.00 90.00°
Positions (direct):
Tb: 0.0000 0.0000 0.0000
Tb: 0.0000 0.5000 0.5000
Tb: 0.5000 0.0000 0.5000
Tb: 0.5000 0.5000 0.0000
Er: 0.0000 0.0000 0.5000
Er: 0.0000 0.5000 0.0000
Er: 0.5000 0.0000 0.0000
Er: 0.5000 0.5000 0.5000
Hg: 0.2500 0.2500 0.7500
Hg: 0.2500 0.7500 0.2500
Hg: 0.7500 0.2500 0.2500
Hg: 0.7500 0.7500 0.7500
Au: 0.2500 0.2500 0.2500
Au: 0.2500 0.7500 0.7500
Au: 0.7500 0.2500 0.7500
Au: 0.7500 0.7500 0.2500

Properties
- Total magnetic moment: 0.00 μB/cell
- ΔH_f (0 K): -15.25 kcal/mol of atoms
- Electronic total energy: -3.854 eV per atom

***

VASP calculation (PBE-GGA) on MgFeSi2I after structural relaxation.

Cell: 4.3360 4.3360 5.5597 Å, 90.00 90.00 90.00°
Positions (direct):
Mg: 0.0000 0.0000 0.0000
Fe: 0.0000 0.0000 0.5000
Si: 0.0000 0.5000 0.5000
Si: 0.5000 0.0000 0.5000
I: 0.5000 0.5000 0.0000

Properties
- Raw formation energy: 0.0775 eV per atom
- Total magnetic moment: 0.00 μB/cell
- Electronic total energy: -4.413 eV per atom

***

VASP calculation (PBE-GGA) on SmHoHgAu after structural relaxation.

Cell: 3.6852 3.6852 7.3911 Å, 90.00 90.00 90.00°
Positions (direct):
Sm: 0.0000 0.0000 0.0000
Ho: 0.0000 0.0000 0.4779
Hg: 0.5000 0.5000 0.7300
Au: 0.5000 0.5000 0.2568

Properties
- Total magnetic moment: 0.00 μB/cell
- ΔH_f (0 K): -15.10 kcal/mol of atoms
- Electronic total energy: -3.874 eV per atom